No. 1
Below is an optimized crystal structure of CuSb2Cl, with properties calculated at the PBE-GGA level.

abc: 4.932 4.932 4.932
angles: 60.00 60.00 60.00
Element x y z (fractional)
Sb 0.250 0.250 0.250
Cu 0.500 0.500 0.500
Cl 0.000 0.000 0.000
Sb 0.750 0.750 0.750

Results
ΔE_f (raw), eV/atom: 0.2281
Symmetry: Fm-3m, No. 225
Energy relative to the lowest polymorph listed for this composition, kcal/mol of atoms: 8.692
Density, g/cm³: 6.7
Crystal system: cubic


No. 2
Below is an optimized crystal structure of SbAsSe2Br, with properties calculated at the PBE-GGA level.

abc: 5.170 5.170 5.116
angles: 90.00 90.00 90.00
Element x y z (fractional)
Br 0.000 0.000 0.000
Se 0.000 0.500 0.000
Sb 0.500 0.500 0.500
As 0.000 0.000 0.500
Se 0.500 0.000 0.000

Results
ΔE_f (raw), eV/atom: 0.9529
Symmetry: P4/mmm, No. 123
Energy relative to the lowest polymorph listed for this composition, kcal/mol of atoms: 14.212
Density, g/cm³: 5.3
Crystal system: tetragonal


No. 3
Below is an optimized crystal structure of Pa2Zn9Ag, with properties calculated at the PBE-GGA level.

abc: 5.254 5.254 9.438
angles: 73.84 73.84 60.00
Element x y z (fractional)
Zn 0.335 0.335 0.994
Ag 0.000 0.000 0.000
Zn 0.582 0.582 0.757
Zn 0.078 0.582 0.757
Zn 0.418 0.922 0.243
Zn 0.418 0.418 0.243
Zn 0.500 0.500 0.500
Zn 0.665 0.665 0.006
Pa 0.152 0.152 0.544
Pa 0.848 0.848 0.456
Zn 0.582 0.078 0.757
Zn 0.922 0.418 0.243

Results
Symmetry: R-3m, No. 166
E_form, kJ per mole of atoms: 3.3
Density, g/cm³: 9.0
Crystal system: trigonal


No. 4
Below is an optimized crystal structure of CaLa2Mg, with properties calculated at the PBE-GGA level.

abc: 9.299 9.299 7.363
angles: 50.84 50.84 90.00
Element x y z (fractional)
Mg 0.250 0.750 0.500
La 0.875 0.848 0.750
Ca 0.750 0.250 0.500
La 0.598 0.125 0.250
Mg 0.500 0.500 0.000
La 0.152 0.625 0.250
Ca 0.000 0.000 0.000
La 0.375 0.402 0.750

Results
Symmetry: I-42d, No. 122
E_form, kJ per mole of atoms: 23.6
Density, g/cm³: 4.0
Crystal system: tetragonal


What did the first record say?
Below is an optimized crystal structure of CuSb2Cl, with properties calculated at the PBE-GGA level.

abc: 4.932 4.932 4.932
angles: 60.00 60.00 60.00
Element x y z (fractional)
Sb 0.250 0.250 0.250
Cu 0.500 0.500 0.500
Cl 0.000 0.000 0.000
Sb 0.750 0.750 0.750

Results
ΔE_f (raw), eV/atom: 0.2281
Symmetry: Fm-3m, No. 225
Energy relative to the lowest polymorph listed for this composition, kcal/mol of atoms: 8.692
Density, g/cm³: 6.7
Crystal system: cubic


Q: What is the density in the second record?
A: 5.3 g/cm³


Q: What is the density in the first record?
A: 6.7 g/cm³